# 1
An optimized crystal structure of Mg8AgRh2. Source: Alexandria, functional GGA-PBE.

extended XYZ file:
```
11
Lattice="7.265 -2.225 0.000 7.265 2.225 0.000 -2.691 0.000 6.348" Properties=species:S:1:pos:R:3 pbc="T T T"
Mg -0.047 0.000 1.477
Mg 0.387 0.000 4.643
Mg 3.108 0.000 3.675
Mg 5.431 0.000 0.257
Mg 6.409 0.000 6.091
Mg 8.732 0.000 2.673
Mg 11.452 0.000 1.705
Mg 11.887 0.000 4.871
Ag 5.920 0.000 3.174
Rh 2.636 0.000 1.001
Rh 9.203 0.000 5.347
```

Output
ΔE to the lowest computed polymorph	0	meV per atom
calculated total energy	-3.05	eV per atom
V	18.66	Å³ per atom
SG	C2/m (12)
N(E_F)	3.86	states/eV per cell
ΔE_f	-0.293	eV per atom

# 2
An optimized crystal structure of Mg8Ag2Rh. Source: Alexandria, functional GGA-PBE.

extended XYZ file:
```
11
Lattice="7.567 -2.320 0.000 7.567 2.320 0.000 -2.661 0.000 6.192" Properties=species:S:1:pos:R:3 pbc="T T T"
Mg -0.429 0.000 1.727
Mg 0.723 0.000 4.530
Mg 3.605 0.000 3.602
Mg 5.741 0.000 0.464
Mg 6.732 0.000 5.729
Mg 8.868 0.000 2.590
Mg 11.750 0.000 1.662
Mg 12.901 0.000 4.465
Ag 2.377 0.000 1.054
Ag 10.095 0.000 5.138
Rh 6.236 0.000 3.096
```

Output
ΔE to the lowest computed polymorph	2	meV per atom
calculated total energy	-2.55	eV per atom
V	19.76	Å³ per atom
SG	C2/m (12)
N(E_F)	4.01	states/eV per cell
ΔE_f	-0.204	eV per atom